1.
Density functional theory data (PBE) for a relaxed structure of Sr3Sn7Au4.

abc: 9.2184 9.2184 10.8742
angles: 124.09 124.09 29.32
Last column: nearest neighbours and their distance in Å.
Atoms (fractional coordinates):
Sr1 0.0000 0.0000 0.0000  6 Au 3.43-3.49, 10 Sn 3.80-3.83
Sr2 0.3158 0.3158 0.3108  9 Sn 3.42-3.70, 4 Au 3.45-3.51
Sr3 0.6842 0.6842 0.6892  9 Sn 3.42-3.70, 4 Au 3.45-3.51
Sn1 0.0000 0.0000 0.5000  2 Au 3.18, 6 Sn 3.35-3.44, 4 Sr 3.55
Sn2 0.1659 0.1659 0.4317  3 Au 2.89-2.98
Sn3 0.3194 0.3194 0.9606  4 Au 2.75-2.89, 1 Sn 3.08
Sn4 0.5003 0.5003 0.2798  3 Au 2.85-3.00, 1 Sn 3.08
Sn5 0.4997 0.4997 0.7202  3 Au 2.85-3.00, 1 Sn 3.08
Sn6 0.6806 0.6806 0.0394  4 Au 2.75-2.89, 1 Sn 3.08
Sn7 0.8341 0.8341 0.5683  3 Au 2.89-2.98
Au1 0.1293 0.1293 0.8586  6 Sn 2.84-3.18
Au2 0.3453 0.3453 0.7344  5 Sn 2.75-2.98
Au3 0.6547 0.6547 0.2656  5 Sn 2.75-2.98
Au4 0.8707 0.8707 0.1414  6 Sn 2.84-3.18

## Properties
- ΔE_f: -526 meV/atom
- Symmetry: No. 12
- Spin magnetization: 0.0 Bohr magnetons per cell

=====

2.
Density functional theory data (PBE) for a relaxed structure of HfUSb2.

abc: 11.4021 11.4021 11.4021
angles: 16.07 16.07 16.07
Last column: nearest neighbours and their distance in Å.
Atoms (fractional coordinates):
Hf1 0.0000 0.0000 0.0000  2 Sb 2.95, 6 Hf 3.19
U1 0.5000 0.5000 0.5000  6 U 3.19, 6 Sb 3.25
Sb1 0.0874 0.0874 0.0874  1 Hf 2.95, 6 Sb 3.19, 3 U 3.25
Sb2 0.9126 0.9126 0.9126  1 Hf 2.95, 6 Sb 3.19, 3 U 3.25

## Properties
- Symmetry: No. 166
- Energy relative to the lowest polymorph listed for this composition: 0.3946 eV per atom
- Uncorrected formation energy: 168 meV per atom
- Spin magnetization: 1.9 Bohr magnetons per cell